Compound: UAlNi14
Source: Alexandria via LeMat-Bulk
Functional: PBE
Structure: relaxed

Structure (CIF):
```
data_UAlNi14
_chemical_formula_sum 'U1 Al1 Ni14'
_cell_length_a 5.1189
_cell_length_b 5.1189
_cell_length_c 7.1309
_cell_angle_alpha 90.00
_cell_angle_beta 90.00
_cell_angle_gamma 90.00
_symmetry_space_group_name_H-M 'P 4/m m m'
_symmetry_Int_Tables_number 123
_symmetry_space_group_name_Hall '-P 4 2'
loop_
_atom_site_label
_atom_site_fract_x
_atom_site_fract_y
_atom_site_fract_z
_atom_site_occupancy
U1 0.0000 0.0000 0.0000 1
Al1 0.5000 0.5000 0.0000 1
Ni1 0.0000 0.0000 0.5000 1
Ni2 0.0000 0.5000 0.0000 1
Ni3 0.0000 0.5000 0.5000 1
Ni4 0.2528 0.2528 0.2582 1
Ni5 0.5000 0.5000 0.5000 1
```

Values from the calculation:
* energy of formation: -166 meV/atom
* DOS(E_F): 1.647 states/eV per atom
* total DFT energy (no corrections): -6.1639 eV per atom